LiNd2Zn4Si3, optimized geometry, DFT PBE; energy relative to the elements, uncorrected = -0.424 eV/atom; E_tot = -3.706 eV/atom
1.0
4.144 0.000 0.000
0.000 4.144 0.000
0.000 0.000 10.582
Li Nd Zn Si
1 2 4 3
Direct
0.000 0.000 0.000 Li
0.000 0.500 0.746 Nd
0.500 0.000 0.254 Nd
0.000 0.000 0.500 Zn
0.000 0.500 0.129 Zn
0.500 0.000 0.871 Zn
0.500 0.500 0.500 Zn
0.000 0.500 0.358 Si
0.500 0.000 0.642 Si
0.500 0.500 0.000 Si